Record 1
A plane-wave DFT calculation with PBE was carried out for a geometry-optimized PuZn3Au9 structure.

Lattice parameters (Å, degrees): 7.224 7.224 7.043 97.09 97.09 136.14
Positions (direct):
Pu 0.000 0.000 0.000
Zn 0.000 0.500 0.000
Zn 0.500 0.000 0.000
Zn 0.500 0.500 0.500
Au 0.000 0.000 0.500
Au 0.033 0.680 0.669
Au 0.309 0.525 0.787
Au 0.320 0.967 0.331
Au 0.475 0.691 0.213
Au 0.525 0.309 0.787
Au 0.680 0.033 0.669
Au 0.691 0.475 0.213
Au 0.967 0.320 0.331

=====

Record 2
A plane-wave DFT calculation with PBE was carried out for a geometry-optimized YMnAl11 structure.

Lattice parameters (Å, degrees): 6.813 6.813 7.078 97.58 97.58 135.19
Positions (direct):
Y 0.000 0.000 0.000
Mn 0.500 0.500 0.500
Al 0.000 0.000 0.500
Al 0.000 0.500 0.000
Al 0.026 0.368 0.362
Al 0.287 0.501 0.773
Al 0.368 0.026 0.362
Al 0.499 0.713 0.227
Al 0.500 0.000 0.000
Al 0.501 0.287 0.773
Al 0.632 0.974 0.638
Al 0.713 0.499 0.227
Al 0.974 0.632 0.638

=====

Record 3
A plane-wave DFT calculation with PBE was carried out for a geometry-optimized La4TaFe structure.

Lattice parameters (Å, degrees): 6.272 6.272 6.272 60.00 60.00 60.00
Positions (direct):
La 0.125 0.125 0.125
La 0.125 0.125 0.625
La 0.125 0.625 0.125
La 0.625 0.125 0.125
Ta 0.750 0.750 0.750
Fe 0.500 0.500 0.500

=====

The evaluated formation energy from the elements for the records listed, in turn: -0.234; -0.176; 1.086 eV/atom.